Record 1
Here is a geometry-optimized ReBN3 structure from the Alexandria database. Energies are from PBE-GGA.

Geometry as POSCAR:
```
ReBN3
1.0
3.355 0.000 0.000
0.000 3.355 0.000
0.000 0.000 3.355
Re B N
1 1 3
Direct
0.000 0.000 0.000
0.500 0.500 0.500
0.000 0.500 0.500
0.500 0.000 0.500
0.500 0.500 0.000
```

Output
Total magnetic moment, μB/atom: 0.0000

=====

Record 2
Here is a geometry-optimized LuPu2Si structure from the Alexandria database. Energies are from PBE-GGA.

Geometry as POSCAR:
```
LuPu2Si
1.0
4.315 0.000 0.000
0.000 4.315 0.000
0.000 0.000 4.813
Lu Pu Si
1 2 1
Direct
0.000 0.000 0.000
0.000 0.500 0.500
0.500 0.000 0.500
0.500 0.500 0.000
```

Output
Total magnetic moment, μB/atom: 2.8509
ΔE to the lowest computed polymorph, kJ per mole of atoms: 0.0

=====

| no. | formation energy without anion corrections (eV per atom) |
| --- | --- |
| 1 | 1.462 |
| 2 | -0.235 |